DFT (PBE-GGA) results for Zr2NbAs after structural relaxation.

Summary:
Symmetry: I-42d
E above lowest polymorph: 254 meV/atom
Crystal system: tetragonal

a = 7.972 Å, b = 7.972 Å, c = 6.241 Å
α = 50.30°, β = 50.30°, γ = 90.00°
Fractional positions:
Nb1 0.750 0.250 0.500
Nb2 0.000 0.000 0.000
As1 0.250 0.750 0.500
Zr1 0.167 0.625 0.250
Zr2 0.375 0.417 0.750
Zr3 0.875 0.833 0.750
As2 0.500 0.500 0.000
Zr4 0.583 0.125 0.250

=====

DFT (PBE-GGA) results for ZrNb2As2 after structural relaxation.

Summary:
Symmetry: I4/mmm
E above lowest polymorph: 218 meV/atom
Crystal system: tetragonal

a = 3.899 Å, b = 3.899 Å, c = 6.873 Å
α = 73.52°, β = 73.52°, γ = 90.00°
Fractional positions:
Nb1 0.250 0.750 0.500
Zr1 0.000 0.000 0.000
As1 0.606 0.606 0.787
Nb2 0.750 0.250 0.500
As2 0.394 0.394 0.213

=====

DFT (PBE-GGA) results for ZrNbAs after structural relaxation.

Summary:
Symmetry: Pmmn
Crystal system: orthorhombic

a = 4.111 Å, b = 7.439 Å, c = 3.649 Å
α = 90.00°, β = 90.00°, γ = 90.00°
Fractional positions:
Nb1 0.500 0.993 0.000
Zr1 0.000 0.357 0.000
As1 0.000 0.732 0.000
Nb2 0.000 0.007 0.500
As2 0.500 0.268 0.500
Zr2 0.500 0.643 0.500

=====

Summary of calculated formation energy in meV/atom
24 -372 -823
(order as listed above)